Entry 1:
Material: NdScPt
Method: DFT, PBE
State: relaxed

```
6
Lattice="4.5927 -0.2219 -0.0148 0.2208 4.5929 -0.0179 0.1222 0.1085 6.9263" Properties=species:S:1:pos:R:3 pbc="T T T"
Nd 3.9851 3.8504 3.7743
Nd 1.5661 1.6532 1.9996
Sc 3.9384 1.5940 6.3508
Sc 1.7357 4.0183 6.3494
Pt 3.9027 3.7787 0.9149
Pt 1.6490 1.7249 4.8591
```

Output
The symmetry is No. 12. The value obtained for the energy of formation is -0.90 eV/atom.

=====

Entry 2:
Material: BaTa2TlPt
Method: DFT, PBE
State: relaxed

```
5
Lattice="-4.7322 2.3685 0.6589 -2.3105 -3.8747 -2.6659 -0.7178 -2.6980 4.5434" Properties=species:S:1:pos:R:3 pbc="T T T"
Tl 0.0000 0.0000 0.0000
Ba -3.8802 -2.1021 1.2682
Pt -1.1552 -1.9373 -1.3330
Ta -0.3589 -1.3490 2.2717
Ta -2.3661 1.1842 0.3294
```

Output
The symmetry is No. 123. The value obtained for the energy of formation is 1.59 eV/atom.

=====

Entry 3:
Material: Hf2BN2
Method: DFT, PBE
State: relaxed

```
5
Lattice="-2.8168 -1.9199 1.4878 -0.2297 -2.0576 -3.0899 1.8538 -5.3852 1.2096" Properties=species:S:1:pos:R:3 pbc="T T T"
B 0.0000 0.0000 0.0000
Hf -0.4629 -3.0552 -0.1697
Hf -0.7298 -6.3074 -0.2227
N -1.2431 -4.6469 0.9482
N 0.0504 -4.7157 -1.3406
```

Output
For the formation energy without anion corrections, the calculation gives -0.459 eV per atom. The symmetry is No. 139.

=====

Entry 4:
Material: LiBe3
Method: DFT, PBE
State: relaxed

```
16
Lattice="-3.9707 3.6290 5.9134 -0.6850 -2.1794 0.8776 7.5299 -1.3543 2.5139" Properties=species:S:1:pos:R:3 pbc="T T T"
Li 4.4717 0.8469 5.5936
Li -0.9125 1.4278 2.8337
Li 0.3642 0.4343 4.7754
Li 2.5100 -0.3391 4.5295
Be -0.2288 2.4641 5.9411
Be 3.7880 -0.1894 2.4863
Be 3.1937 0.6972 7.6368
Be -0.3195 -0.6020 1.6681
Be 1.4699 0.4760 2.3295
Be 2.0893 1.7987 6.0978
Be 4.8924 -1.2909 4.0252
Be -2.0182 1.3862 5.2797
Be 6.3798 -1.0317 2.4174
Be -2.8206 3.3064 6.0099
Be 2.2723 -1.4443 1.5993
Be 0.6019 1.5395 7.7056
```

Output
The symmetry is No. 12. The value obtained for the energy of formation is 0.08 eV/atom.

=====

Entry 5:
Material: PrTm
Method: DFT, PBE
State: relaxed

```
4
Lattice="-0.7238 0.9345 -3.4955 -5.9639 -1.8768 0.7312 -1.4602 5.3110 1.7222" Properties=species:S:1:pos:R:3 pbc="T T T"
Pr -1.7535 1.4719 -1.1913
Pr -6.3944 2.8967 0.1492
Tm -4.3314 0.0800 0.9153
Tm -3.8165 4.2886 -1.9573
```

Output
The symmetry is No. 51. The value obtained for the energy of formation is 0.03 eV/atom.

=====

Entry 6:
Material: SbS2
Method: DFT, PBE
State: relaxed

```
6
Lattice="1.8001 1.1821 6.9240 6.0365 3.9879 -0.4869 -6.3946 1.1637 -3.2148" Properties=species:S:1:pos:R:3 pbc="T T T"
Sb -0.3381 2.4654 3.4639
Sb 0.0000 0.0000 0.0000
S -0.2426 2.2906 0.9718
S 1.6744 1.3421 4.4323
S 3.6437 5.3357 3.8597
S -2.1916 3.6992 -2.8193
```

Output
For the formation energy without anion corrections, the calculation gives 0.128 eV per atom. The symmetry is No. 122.

=====

Entry 7:
Material: Be2AgMo
Method: DFT, PBE
State: relaxed

```
4
Lattice="-1.5907 3.3989 -0.4487 -2.0499 2.4602 2.0075 4.2712 2.9559 1.9283" Properties=species:S:1:pos:R:3 pbc="T T T"
Be 4.2428 2.9513 1.9212
Be 0.3437 4.4121 1.7506
Mo 0.1577 2.2037 0.8718
Ag 0.4730 6.6112 2.6153
```

Output
The symmetry is No. 12. The value obtained for the energy of formation is 0.39 eV/atom.

=====

Entry 8:
Material: BaPm2In9
Method: DFT, PBE
State: relaxed

```
12
Lattice="4.7977 0.0000 0.0000 0.0000 4.7977 0.0000 0.0000 0.0000 14.4668" Properties=species:S:1:pos:R:3 pbc="T T T"
Ba 0.0000 0.0000 0.0000
Pm 0.0000 0.0000 4.9695
Pm 0.0000 0.0000 9.4973
In 2.3988 2.3988 0.0000
In 2.3988 2.3988 4.8726
In 2.3988 2.3988 9.5943
In 2.3988 0.0000 2.5916
In 2.3988 0.0000 7.2334
In 2.3988 0.0000 11.8752
In 0.0000 2.3988 2.5916
In 0.0000 2.3988 7.2334
In 0.0000 2.3988 11.8752
```

Output
The symmetry is No. 123. The value obtained for the energy of formation is -0.39 eV/atom.

=====

So what do the calculations give for magnetic moment? Going down the list: 0.0; 4.6; 0.1; 0.0; 0.0; 0.0; 0.0; 0.0 μB/f.u..